{"formula": "DyPd6Au", "functional": "GGA-PBE", "state": "relaxed", "lattice": [[4.2058, -2.6409, 0.0000], [4.2058, 2.6409, 0.0000], [-2.1187, 0.0000, 6.9059]], "species": ["Dy", "Pd", "Pd", "Pd", "Pd", "Pd", "Pd", "Au"], "fractional_positions": [[0.0000, 0.0000, 0.0000], [0.0422, 0.5528, 0.1975], [0.1455, 0.1455, 0.4459], [0.4472, 0.9578, 0.8025], [0.5528, 0.0422, 0.1975], [0.8545, 0.8545, 0.5541], [0.9578, 0.4472, 0.8025], [0.5000, 0.5000, 0.5000]], "delta_e_f_ev_per_atom": -0.16, "spacegroup": "C2/m", "n_ef_per_ev_atom": 0.677}